This record from Alexandria via LeMat-Bulk describes a relaxed SrCaAl3 crystal. The functional is PBE.

The structure in POSCAR format:
```
SrCaAl3
1.0
5.5328 0.0000 0.0000
0.0000 5.5328 0.0000
0.0000 0.0000 5.5328
Sr Ca Al
1 1 3
Direct
0.0000 0.0000 0.0000
0.5000 0.5000 0.5000
0.0000 0.5000 0.5000
0.5000 0.0000 0.5000
0.5000 0.5000 0.0000
```

Calculated values
- magnetization (μB/cell) = 0.0
- energy of formation (eV/atom) = 0.61
- N(E_F) (states/eV/atom) = 1.38